1.
Entry from Alexandria: a geometry-optimized Ce2HoErS5 structure (PBE-GGA).

a = 4.8821 Å, b = 4.8821 Å, c = 10.2540 Å
α = 90.00°, β = 90.00°, γ = 90.00°
Space group P4/mmm (No. 123)
Asymmetric unit:
Ce 0.0000 0.0000 0.2016 (multiplicity 2)
Ho 0.5000 0.5000 0.5000 (multiplicity 1)
Er 0.5000 0.5000 0.0000 (multiplicity 1)
S 0.0000 0.0000 0.5000 (multiplicity 1)
S 0.0000 0.5000 0.0000 (multiplicity 2)
S 0.5000 0.5000 0.2556 (multiplicity 2)

* formation energy from raw total energies: -1303 kJ/mol of formula units
* crystal system: tetragonal

---

2.
Entry from Alexandria: a geometry-optimized Ta2IF structure (PBE-GGA).

a = 4.1211 Å, b = 4.1211 Å, c = 18.2951 Å
α = 90.00°, β = 90.00°, γ = 90.00°
Space group I-42d (No. 122)
Asymmetric unit:
Ta 0.2316 0.2500 0.1250 (multiplicity 8)
I 0.0000 0.0000 0.5000 (multiplicity 4)
F 0.0000 0.0000 0.0000 (multiplicity 4)

* formation energy from raw total energies: 74 kJ/mol of formula units
* crystal system: tetragonal
* excess energy over the best structure of this formula in the dataset: 0 meV per atom

---

3.
Entry from Alexandria: a geometry-optimized TaNb2S3 structure (PBE-GGA).

a = 3.2013 Å, b = 11.9913 Å, c = 5.8515 Å
α = 90.00°, β = 90.00°, γ = 90.00°
Space group Imm2 (No. 44)
Asymmetric unit:
Ta 0.0000 0.0000 0.0000 (multiplicity 2)
Nb 0.0000 0.3019 0.9071 (multiplicity 4)
S 0.0000 0.1320 0.6902 (multiplicity 4)
S 0.0000 0.5000 0.8030 (multiplicity 2)

* formation energy from raw total energies: -312 kJ/mol of formula units
* crystal system: orthorhombic

---

4.
Entry from Alexandria: a geometry-optimized Ce8Co2Re structure (PBE-GGA).

a = 7.6751 Å, b = 12.5127 Å, c = 5.6621 Å
α = 90.00°, β = 110.00°, γ = 90.00°
Space group C2/m (No. 12)
Asymmetric unit:
Ce 0.0000 0.2201 0.0000 (multiplicity 4)
Ce 0.1189 0.5000 0.8224 (multiplicity 4)
Ce 0.2118 0.1121 0.5874 (multiplicity 8)
Co 0.0000 0.2909 0.5000 (multiplicity 4)
Re 0.0000 0.0000 0.0000 (multiplicity 2)

* formation enthalpy at 0 K: -0.013 eV/atom
* crystal system: monoclinic

---

5.
Entry from Alexandria: a geometry-optimized ZnOs2Pt structure (PBE-GGA).

a = 2.7316 Å, b = 4.7008 Å, c = 9.2809 Å
α = 90.00°, β = 90.00°, γ = 90.00°
Space group Cmmm (No. 65)
Asymmetric unit:
Zn 0.0000 0.0000 0.0000 (multiplicity 2)
Os 0.0000 0.5000 0.2419 (multiplicity 4)
Pt 0.0000 0.0000 0.5000 (multiplicity 2)

* formation enthalpy at 0 K: 0.399 eV/atom
* crystal system: orthorhombic

---

6.
Entry from Alexandria: a geometry-optimized MgReI2O structure (PBE-GGA).

a = 5.7716 Å, b = 5.7716 Å, c = 3.6804 Å
α = 90.00°, β = 90.00°, γ = 90.00°
Space group P4/mmm (No. 123)
Asymmetric unit:
Mg 0.0000 0.0000 0.0000 (multiplicity 1)
Re 0.5000 0.5000 0.5000 (multiplicity 1)
I 0.0000 0.5000 0.0000 (multiplicity 2)
O 0.0000 0.0000 0.5000 (multiplicity 1)

* formation energy from raw total energies: 230 kJ/mol of formula units
* crystal system: tetragonal
* excess energy over the best structure of this formula in the dataset: 660 meV per atom

---

7.
Entry from Alexandria: a geometry-optimized Pr4GaRhCl2 structure (PBE-GGA).

a = 7.6443 Å, b = 4.0554 Å, c = 7.7099 Å
α = 90.00°, β = 108.42°, γ = 90.00°
Space group P2/m (No. 10)
Asymmetric unit:
Pr 0.2345 0.0000 0.2744 (multiplicity 2)
Pr 0.2362 0.5000 0.7131 (multiplicity 2)
Ga 0.5000 0.5000 0.5000 (multiplicity 1)
Rh 0.0000 0.0000 0.5000 (multiplicity 1)
Cl 0.0000 0.5000 0.0000 (multiplicity 1)
Cl 0.5000 0.0000 0.0000 (multiplicity 1)

* formation energy from raw total energies: -806 kJ/mol of formula units
* crystal system: monoclinic

---

8.
Entry from Alexandria: a geometry-optimized BaScHg structure (PBE-GGA).

a = 5.0162 Å, b = 5.0162 Å, c = 7.8977 Å
α = 90.00°, β = 90.00°, γ = 90.00°
Space group P4/nmm (No. 129, origin choice 2)
Asymmetric unit:
Ba 0.2500 0.2500 0.1378 (multiplicity 2)
Sc 0.2500 0.7500 0.5000 (multiplicity 2)
Hg 0.2500 0.2500 0.6935 (multiplicity 2)

* formation enthalpy at 0 K: -0.277 eV/atom
* crystal system: tetragonal
* excess energy over the best structure of this formula in the dataset: 0 meV per atom

---

9.
Entry from Alexandria: a geometry-optimized Sm6GeTe3S2 structure (PBE-GGA).

a = 7.2845 Å, b = 12.6081 Å, c = 7.6151 Å
α = 90.00°, β = 108.55°, γ = 90.00°
Space group C2/m (No. 12)
Asymmetric unit:
Sm 0.2348 0.0000 0.2118 (multiplicity 4)
Sm 0.2388 0.3323 0.2139 (multiplicity 8)
Ge 0.0000 0.5000 0.0000 (multiplicity 2)
Te 0.0000 0.0000 0.5000 (multiplicity 2)
Te 0.0000 0.3350 0.5000 (multiplicity 4)
S 0.0000 0.1671 0.0000 (multiplicity 4)

* formation energy from raw total energies: -1820 kJ/mol of formula units
* crystal system: monoclinic

---

10.
Entry from Alexandria: a geometry-optimized TbThInSn structure (PBE-GGA).

a = 7.6740 Å, b = 7.6740 Å, c = 7.6740 Å
α = 90.00°, β = 90.00°, γ = 90.00°
Space group F-43m (No. 216)
Asymmetric unit:
Tb 0.0000 0.0000 0.0000 (multiplicity 4)
Th 0.0000 0.0000 0.5000 (multiplicity 4)
In 0.2500 0.2500 0.7500 (multiplicity 4)
Sn 0.2500 0.2500 0.2500 (multiplicity 4)

* formation enthalpy at 0 K: -0.390 eV/atom
* crystal system: cubic

---

11.
Entry from Alexandria: a geometry-optimized ReOs2Rh structure (PBE-GGA).

a = 3.8725 Å, b = 3.8725 Å, c = 3.8433 Å
α = 90.00°, β = 90.00°, γ = 90.00°
Space group P4/mmm (No. 123)
Asymmetric unit:
Re 0.0000 0.0000 0.0000 (multiplicity 1)
Os 0.0000 0.5000 0.5000 (multiplicity 2)
Rh 0.5000 0.5000 0.0000 (multiplicity 1)

* formation enthalpy at 0 K: 0.038 eV/atom
* crystal system: tetragonal
* excess energy over the best structure of this formula in the dataset: 0 meV per atom

---

12.
Entry from Alexandria: a geometry-optimized TaBeAs structure (PBE-GGA).

a = 2.8115 Å, b = 2.8115 Å, c = 13.5093 Å
α = 90.00°, β = 90.00°, γ = 90.00°
Space group I4mm (No. 107)
Asymmetric unit:
Ta 0.0000 0.0000 0.0000 (multiplicity 2)
Be 0.0000 0.0000 0.6205 (multiplicity 2)
As 0.0000 0.0000 0.3443 (multiplicity 2)

* formation enthalpy at 0 K: 0.284 eV/atom
* crystal system: tetragonal
* excess energy over the best structure of this formula in the dataset: 310 meV per atom

---

For the records above, the corresponding spin magnetization values read 3.24, 0.00, 0.00, 2.77, 0.00, 4.70, 0.00, 0.00, 0.00, 0.00, 0.00, 0.00 Bohr magnetons per cell.